Li4V3Cu3Te2O16: optimized geometry, PBE with a Hubbard U.

Computed properties:
- E_tot (eV/atom) = -6.04

Unit cell a=5.925 b=5.995 c=9.894 alpha=92.37 beta=90.09 gamma=119.54
Space group P1 (No. 1)
Inequivalent atoms, fractional coordinates:
Li: 0.000 0.000 0.000 [1 per cell]
Li: 0.004 0.017 0.511 [1 per cell]
Li: 0.355 0.706 0.579 [1 per cell]
Li: 0.678 0.341 0.073 [1 per cell]
V: 0.176 0.833 0.274 [1 per cell]
V: 0.657 0.828 0.268 [1 per cell]
V: 0.831 0.660 0.765 [1 per cell]
Cu: 0.174 0.347 0.281 [1 per cell]
Cu: 0.349 0.180 0.780 [1 per cell]
Cu: 0.834 0.180 0.780 [1 per cell]
Te: 0.333 0.662 0.000 [1 per cell]
Te: 0.673 0.347 0.501 [1 per cell]
O: 0.047 0.543 0.137 [1 per cell]
O: 0.166 0.328 0.905 [1 per cell]
O: 0.169 0.819 0.902 [1 per cell]
O: 0.337 0.170 0.403 [1 per cell]
O: 0.370 0.701 0.378 [1 per cell]
O: 0.496 0.969 0.142 [1 per cell]
O: 0.508 0.542 0.134 [1 per cell]
O: 0.539 0.075 0.635 [1 per cell]
O: 0.552 0.534 0.625 [1 per cell]
O: 0.652 0.818 0.899 [1 per cell]
O: 0.690 0.375 0.871 [1 per cell]
O: 0.830 0.666 0.387 [1 per cell]
O: 0.831 0.175 0.400 [1 per cell]
O: 0.984 0.536 0.623 [1 per cell]
O: 0.989 0.996 0.192 [1 per cell]
O: 0.999 0.995 0.702 [1 per cell]